(1)
Below is an optimized crystal structure of Tb2Pm3Er4, with properties calculated at the GGA-PBE level.

Output
M_tot = 0.00 μB per cell
DOS at the Fermi energy = 26.1 states/eV/cell
E above lowest polymorph = 83 meV per atom
formation energy = 88 kJ/mol of formula units

Cell: 10.087 10.087 6.070 Å, 95.65 95.65 70.12°
Fractional positions:
1 Tb 0.017 0.742 0.682
2 Tb 0.258 0.983 0.818
3 Tb 0.742 0.017 0.182
4 Tb 0.983 0.258 0.318
5 Pm 0.101 0.899 0.250
6 Pm 0.233 0.435 0.412
7 Pm 0.435 0.233 0.912
8 Pm 0.565 0.767 0.088
9 Pm 0.767 0.565 0.588
10 Pm 0.899 0.101 0.750
11 Er 0.080 0.353 0.850
12 Er 0.316 0.589 0.982
13 Er 0.353 0.080 0.350
14 Er 0.411 0.684 0.518
15 Er 0.589 0.316 0.482
16 Er 0.647 0.920 0.650
17 Er 0.684 0.411 0.018
18 Er 0.920 0.647 0.150

=====

(2)
Below is an optimized crystal structure of Tb2Pm5Er5, with properties calculated at the GGA-PBE level.

Output
M_tot = 0.00 μB per cell
DOS at the Fermi energy = 17.4 states/eV/cell
formation energy = 21 kJ/mol of formula units

Cell: 7.988 7.988 11.325 Å, 115.09 115.09 36.82°
Fractional positions:
1 Tb 0.083 0.083 0.249
2 Tb 0.917 0.917 0.751
3 Pm 0.334 0.334 0.501
4 Pm 0.415 0.415 0.249
5 Pm 0.500 0.500 0.000
6 Pm 0.585 0.585 0.751
7 Pm 0.666 0.666 0.499
8 Er 0.000 0.000 0.500
9 Er 0.168 0.168 0.001
10 Er 0.251 0.251 0.752
11 Er 0.749 0.749 0.248
12 Er 0.832 0.832 0.999

=====

(3)
Below is an optimized crystal structure of Tb3PmEr7, with properties calculated at the GGA-PBE level.

Output
M_tot = 0.00 μB per cell
DOS at the Fermi energy = 18.1 states/eV/cell
E above lowest polymorph = 0 meV per atom
formation energy = 163 kJ/mol of formula units

Cell: 6.901 5.496 9.873 Å, 90.00 109.65 90.00°
Fractional positions:
1 Tb 0.000 0.000 0.000
2 Tb 0.221 0.500 0.504
3 Tb 0.779 0.500 0.496
4 Pm 0.500 0.000 0.000
5 Er 0.076 0.000 0.669
6 Er 0.178 0.500 0.859
7 Er 0.351 0.500 0.210
8 Er 0.500 0.000 0.500
9 Er 0.649 0.500 0.790
10 Er 0.822 0.500 0.141
11 Er 0.924 0.000 0.331

=====

(4)
Below is an optimized crystal structure of Tb7Pm3Er, with properties calculated at the GGA-PBE level.

Output
M_tot = 0.00 μB per cell
DOS at the Fermi energy = 16.1 states/eV/cell
E above lowest polymorph = 0 meV per atom
formation energy = 146 kJ/mol of formula units

Cell: 6.971 5.552 9.996 Å, 90.00 109.44 90.00°
Fractional positions:
1 Tb 0.000 0.000 0.000
2 Tb 0.148 0.500 0.289
3 Tb 0.322 0.500 0.637
4 Tb 0.423 0.000 0.829
5 Tb 0.577 0.000 0.171
6 Tb 0.678 0.500 0.363
7 Tb 0.852 0.500 0.711
8 Pm 0.000 0.000 0.500
9 Pm 0.281 0.500 0.997
10 Pm 0.719 0.500 0.003
11 Er 0.500 0.000 0.500